Material: BaCd2Se2
Method: DFT, GGA-PBE
State: relaxed

Results
formation energy without anion corrections: -0.758 eV per atom
DOS(E_F): 0.275 states/eV/atom

Lattice parameters (Å, degrees): 4.2920 4.2920 8.3417 75.09 75.09 90.00
Sites, in units of the cell vectors:
Ba  0.0000  0.0000  0.0000
Cd  0.2500  0.7500  0.5000
Cd  0.7500  0.2500  0.5000
Se  0.5965  0.5965  0.8070
Se  0.4035  0.4035  0.1930

***

Material: Ba2CdSe
Method: DFT, GGA-PBE
State: relaxed

Results
polymorph energy (0 for the lowest one): 0.222 eV per atom
formation energy without anion corrections: -0.806 eV per atom
DOS(E_F): 1.330 states/eV/atom

Lattice parameters (Å, degrees): 5.8631 5.8631 5.8631 60.00 60.00 60.00
Sites, in units of the cell vectors:
Se  0.0000  0.0000  0.0000
Cd  0.5000  0.5000  0.5000
Ba  0.2500  0.2500  0.2500
Ba  0.7500  0.7500  0.7500

***

Material: Ba2CdSe
Method: DFT, GGA-PBE
State: relaxed

Results
polymorph energy (0 for the lowest one): 0.214 eV per atom
formation energy without anion corrections: -0.814 eV per atom
DOS(E_F): 0.544 states/eV/atom

Lattice parameters (Å, degrees): 7.3173 7.3173 7.3173 141.56 141.56 55.49
Sites, in units of the cell vectors:
Cd  0.5000  0.5000  0.0000
Ba  0.0000  0.0000  0.0000
Ba  0.2500  0.7500  0.5000
Se  0.7500  0.2500  0.5000

***

Material: Ba2CdSe
Method: DFT, GGA-PBE
State: relaxed

Results
polymorph energy (0 for the lowest one): 0.081 eV per atom
formation energy without anion corrections: -0.947 eV per atom
DOS(E_F): 1.129 states/eV/atom

Lattice parameters (Å, degrees): 4.8808 4.8808 6.8928 90.00 90.00 89.99
Sites, in units of the cell vectors:
Se  0.5000  0.5000  0.8752
Cd  0.0000  0.0000  0.3748
Ba  0.5000  0.5000  0.3751
Ba  0.0000  0.0000  0.8749

***

Material: BaCdSe4
Method: DFT, GGA-PBE
State: relaxed

Results
formation energy without anion corrections: -0.340 eV per atom
DOS(E_F): 0.431 states/eV/atom

Lattice parameters (Å, degrees): 6.0410 6.0410 6.0410 60.00 60.00 60.00
Sites, in units of the cell vectors:
Se  0.3733  0.3733  0.8801
Se  0.8801  0.3733  0.3733
Se  0.3733  0.3733  0.3733
Se  0.3733  0.8801  0.3733
Cd  0.0000  0.0000  0.0000
Ba  0.7500  0.7500  0.7500

***

Material: Ba2CdSe
Method: DFT, GGA-PBE
State: relaxed

Results
polymorph energy (0 for the lowest one): 0.648 eV per atom
formation energy without anion corrections: -0.380 eV per atom
DOS(E_F): 1.430 states/eV/atom

Lattice parameters (Å, degrees): 5.7977 5.7977 5.7977 60.00 60.00 60.00
Sites, in units of the cell vectors:
Cd  0.5000  0.5000  0.5000
Ba  0.2500  0.2500  0.2500
Ba  0.0000  0.0000  0.0000
Se  0.7500  0.7500  0.7500

***

Material: Ba2CdSe
Method: DFT, GGA-PBE
State: relaxed

Results
polymorph energy (0 for the lowest one): 0.000 eV per atom
formation energy without anion corrections: -1.028 eV per atom
DOS(E_F): 0.840 states/eV/atom

Lattice parameters (Å, degrees): 4.6690 4.6690 9.2214 75.36 75.36 60.03
Site moments in Bohr magnetons follow the coordinates.
Sites, in units of the cell vectors:
Ba  0.5110  0.5110  0.4673  0.09
Ba  0.9890  0.9890  0.0327  0.09
Cd  0.7500  0.7500  0.7500  0.06
Se  0.2500  0.2500  0.2500  0.00

***

Material: Ba2Cd2Se
Method: DFT, GGA-PBE
State: relaxed

Results
polymorph energy (0 for the lowest one): 0.173 eV per atom
formation energy without anion corrections: -0.628 eV per atom
DOS(E_F): 0.322 states/eV/atom

Lattice parameters (Å, degrees): 8.7951 8.7951 5.4666 90.00 90.00 90.00
Sites, in units of the cell vectors:
Cd  0.6169  0.8831  0.5000
Cd  0.1169  0.6169  0.5000
Cd  0.3831  0.1169  0.5000
Cd  0.8831  0.3831  0.5000
Se  0.0000  0.0000  0.0000
Se  0.5000  0.5000  0.0000
Ba  0.3115  0.8115  0.0000
Ba  0.1885  0.3115  0.0000
Ba  0.6885  0.1885  0.0000
Ba  0.8115  0.6885  0.0000

***

Material: Ba2CdSe2
Method: DFT, GGA-PBE
State: relaxed

Results
polymorph energy (0 for the lowest one): 0.197 eV per atom
formation energy without anion corrections: -1.197 eV per atom
DOS(E_F): 0.000 states/eV/atom

Lattice parameters (Å, degrees): 6.2225 6.2225 7.6805 66.10 66.10 90.00
Sites, in units of the cell vectors:
Cd  0.0000  0.0000  0.0000
Ba  0.2500  0.7500  0.5000
Ba  0.7500  0.2500  0.5000
Se  0.3121  0.3121  0.3759
Se  0.6879  0.6879  0.6241

***

Material: Ba2SmCdSe5
Method: DFT, GGA-PBE
State: relaxed

Results
formation energy without anion corrections: -1.518 eV per atom
DOS(E_F): 0.805 states/eV/atom

Lattice parameters (Å, degrees): 4.3868 9.7886 13.3223 90.00 90.00 102.95
Sites, in units of the cell vectors:
Ba  0.1145  0.2290  0.6868
Ba  0.8855  0.7710  0.1868
Ba  0.1293  0.2586  0.3158
Ba  0.8707  0.7414  0.8158
Cd  0.5499  0.0998  0.9466
Cd  0.4501  0.9002  0.4466
Se  0.6895  0.3791  0.8662
Se  0.0526  0.1052  0.0594
Se  0.2910  0.5819  0.6619
Se  0.7090  0.4181  0.1619
Se  0.4952  0.9904  0.7674
Se  0.3572  0.7144  0.0053
Se  0.6428  0.2856  0.5053
Se  0.9474  0.8948  0.5594
Se  0.3105  0.6209  0.3662
Se  0.5048  0.0096  0.2674
Sm  0.2080  0.4159  0.0146
Sm  0.7920  0.5841  0.5146

***

Material: BaSr2CdSe4
Method: DFT, GGA-PBE
State: relaxed

Results
formation energy without anion corrections: -1.659 eV per atom
DOS(E_F): 0.000 states/eV/atom

Lattice parameters (Å, degrees): 4.4411 7.7897 15.4151 90.00 90.00 106.56
Sites, in units of the cell vectors:
Sr  0.6288  0.2576  0.4471
Sr  0.6288  0.2576  0.0529
Sr  0.3712  0.7424  0.9471
Sr  0.3712  0.7424  0.5529
Se  0.7317  0.4633  0.6214
Se  0.2683  0.5367  0.1214
Se  0.0000  0.0000  0.5000
Se  0.0000  0.0000  0.0000
Se  0.2683  0.5367  0.3786
Se  0.7317  0.4633  0.8786
Se  0.4520  0.9041  0.7500
Se  0.5480  0.0959  0.2500
Cd  0.1509  0.3017  0.2500
Cd  0.8491  0.6983  0.7500
Ba  0.8785  0.7570  0.2500
Ba  0.1215  0.2430  0.7500

***

Material: Ba2SrCdSe4
Method: DFT, GGA-PBE
State: relaxed

Results
formation energy without anion corrections: -1.598 eV per atom

Lattice parameters (Å, degrees): 9.0246 9.0246 8.9193 119.61 119.62 90.83
Sites, in units of the cell vectors:
Se  0.7549  0.7451  0.9725
Se  0.2451  0.2549  0.4725
Se  0.2459  0.7338  0.4898
Se  0.2451  0.2549  0.0275
Se  0.7549  0.7451  0.5275
Se  0.2338  0.7459  0.9898
Se  0.7541  0.2662  0.5102
Se  0.7662  0.2541  0.0102
Ba  0.5000  0.5000  0.0000
Ba  0.5000  0.0000  0.0000
Ba  0.5000  0.0000  0.5000
Ba  0.0000  0.0000  0.5000
Sr  0.0000  0.5000  0.0000
Sr  0.0000  0.5000  0.5000
Cd  0.5000  0.5000  0.5000
Cd  0.0000  0.0000  0.0000

***

Material: Ba2ThCdSe5
Method: DFT, GGA-PBE
State: relaxed

Results
formation energy without anion corrections: -1.654 eV per atom
DOS(E_F): 0.000 states/eV/atom

Lattice parameters (Å, degrees): 4.4173 9.7943 13.5410 90.00 90.00 103.03
Sites, in units of the cell vectors:
Se  0.6428  0.2856  0.5033
Se  0.3572  0.7144  0.0033
Se  0.6936  0.3872  0.8708
Se  0.5030  0.0059  0.2708
Se  0.2869  0.5739  0.6588
Se  0.0557  0.1113  0.0583
Se  0.3064  0.6128  0.3708
Se  0.7131  0.4261  0.1588
Se  0.4970  0.9941  0.7708
Se  0.9443  0.8887  0.5583
Ba  0.8910  0.7821  0.1837
Ba  0.8753  0.7506  0.8149
Ba  0.1247  0.2494  0.3149
Ba  0.1090  0.2179  0.6837
Th  0.7922  0.5843  0.5158
Th  0.2078  0.4157  0.0158
Cd  0.4517  0.9034  0.4477
Cd  0.5483  0.0966  0.9477

***

Material: BaTlCd2Se
Method: DFT, GGA-PBE
State: relaxed

Results
formation energy without anion corrections: -0.075 eV per atom
DOS(E_F): 0.806 states/eV/atom

Lattice parameters (Å, degrees): 5.4128 6.2609 5.4128 90.00 90.00 90.00
Sites, in units of the cell vectors:
Cd  0.5000  0.0000  0.0000
Cd  0.0000  0.0000  0.5000
Se  0.0000  0.0000  0.0000
Tl  0.0000  0.5000  0.0000
Ba  0.5000  0.5000  0.5000

***

Material: BaTl2CdSe
Method: DFT, GGA-PBE
State: relaxed

Results
formation energy without anion corrections: 0.644 eV per atom
DOS(E_F): 0.714 states/eV/atom

Lattice parameters (Å, degrees): 6.5602 6.5602 6.3033 90.00 90.00 90.00
Sites, in units of the cell vectors:
Cd  0.0000  0.0000  0.5000
Tl  0.0000  0.5000  0.0000
Tl  0.5000  0.0000  0.0000
Ba  0.0000  0.0000  0.0000
Se  0.5000  0.5000  0.5000

***

Material: Ba2UCdSe6
Method: DFT, GGA-PBE
State: relaxed

Results
formation energy without anion corrections: -1.331 eV per atom

Lattice parameters (Å, degrees): 7.3736 7.8184 10.6338 90.00 90.89 90.00
Sites, in units of the cell vectors:
Cd  0.5000  0.0000  0.5000
Cd  0.0000  0.5000  0.0000
Ba  0.9748  0.0785  0.7530
Ba  0.5252  0.5785  0.7470
Ba  0.0252  0.9215  0.2470
Ba  0.4748  0.4215  0.2530
Se  0.3142  0.7067  0.0428
Se  0.6858  0.2933  0.9572
Se  0.7021  0.3101  0.5426
Se  0.1858  0.2067  0.4572
Se  0.0872  0.4885  0.7460
Se  0.7979  0.8101  0.9574
Se  0.8142  0.7933  0.5428
Se  0.5872  0.0115  0.2460
Se  0.2021  0.1899  0.0426
Se  0.2979  0.6899  0.4574
Se  0.4128  0.9885  0.7540
Se  0.9128  0.5115  0.2540
U  0.0000  0.5000  0.5000
U  0.5000  0.0000  0.0000

***

Material: BaCd2Si
Method: DFT, GGA-PBE
State: relaxed

Results
formation energy without anion corrections: -0.010 eV per atom
DOS(E_F): 0.556 states/eV/atom

Lattice parameters (Å, degrees): 3.7901 3.7901 7.6794 90.00 90.00 90.00
Sites, in units of the cell vectors:
Si  0.0000  0.0000  0.4326
Ba  0.5000  0.5000  0.7305
Cd  0.0000  0.0000  0.0610
Cd  0.5000  0.5000  0.2759

***

Material: BaCd2Si
Method: DFT, GGA-PBE
State: relaxed

Results
formation energy without anion corrections: -0.156 eV per atom
DOS(E_F): 0.443 states/eV/atom

Lattice parameters (Å, degrees): 4.6652 4.6652 6.7920 69.97 69.97 59.96
Sites, in units of the cell vectors:
Cd  0.0303  0.0303  0.9095
Cd  0.7686  0.7686  0.6942
Si  0.4600  0.4600  0.6198
Ba  0.2411  0.2411  0.2766

***

Material: Ba2CdSi
Method: DFT, GGA-PBE
State: relaxed

Results
formation energy without anion corrections: -0.279 eV per atom
DOS(E_F): 0.717 states/eV/atom

Lattice parameters (Å, degrees): 4.7007 4.9520 6.7663 68.58 90.00 90.00
Sites, in units of the cell vectors:
Ba  0.0000  0.9871  0.9016
Ba  0.5000  0.2691  0.3357
Cd  0.0000  0.6822  0.5103
Si  0.5000  0.5616  0.7525

***

Material: BaCdSi
Method: DFT, GGA-PBE
State: relaxed

Results
formation energy without anion corrections: 0.026 eV per atom
DOS(E_F): 0.804 states/eV/atom

Lattice parameters (Å, degrees): 6.6043 6.6043 6.6043 146.67 146.82 47.74
Sites, in units of the cell vectors:
Si  0.6970  0.6970  0.0000
Ba  0.0047  0.0047  0.0000
Cd  0.2984  0.2984  0.0000